Tb2NdErSe6, relaxed, DFT GGA-PBE; crystal system = trigonal; space-group type = No. 146; formation energy from raw total energies = -1.846 eV per atom
1.0
-3.4480 4.4084 4.6574
-7.2590 0.5347 -0.1871
-4.0398 -3.2414 5.7701
Se Tb Nd Er
6 2 1 1
direct
0.9027 0.6253 0.2516 Se
0.4204 0.7240 0.7483 Se
0.2204 0.9027 0.2516 Se
0.7241 0.1071 0.7483 Se
0.6252 0.2204 0.2516 Se
0.1072 0.4205 0.7484 Se
0.5128 0.5128 0.4617 Tb
0.0162 0.0163 0.9514 Tb
0.3138 0.3137 0.0587 Nd
0.8188 0.8188 0.5436 Er